## Tb2Nd3PuS6 (GGA-PBE)

Data for a relaxed Tb2Nd3PuS6 crystal.

Results
The value obtained for the uncorrected formation energy is -23.90 eV/f.u. For the final energy, the calculation gives -7.213 eV per atom. Its density is 7.24 g/cm³.

Cell: 6.914 11.984 6.963 Å, 90.00 109.34 90.00°
Space group C2/m (No. 12)
Unique sites:
Tb (0.000, 0.167, 0.000)
Nd (0.000, 0.000, 0.500)
Nd (0.000, 0.333, 0.500)
Pu (0.000, 0.500, 0.000)
S (0.245, 0.000, 0.238)
S (0.247, 0.333, 0.238)


## AsPb2 (GGA-PBE)

Data for a relaxed AsPb2 crystal.

Results
For the energy above the most stable polymorph in this dataset, the calculation gives 0.052 eV per atom. As for the formation energy: 54 meV per atom. For the final energy, the calculation gives -3.968 eV per atom. Its density is 9.77 g/cm³.

Cell: 5.324 5.314 6.431 Å, 90.00 113.86 90.00°
Space group C2/m (No. 12)
Unique sites:
As (0.000, 0.000, 0.000)
Pb (0.140, 0.500, 0.284)


## EuIn2Hg (GGA-PBE)

Data for a relaxed EuIn2Hg crystal.

Results
For the energy above the most stable polymorph in this dataset, the calculation gives 0.089 eV per atom. As for the formation energy: -263 meV per atom. For the final energy, the calculation gives -4.276 eV per atom. Its density is 9.00 g/cm³.

Cell: 7.545 7.545 7.545 Å, 90.00 90.00 90.00°
Space group Fm-3m (No. 225)
Unique sites:
Eu (0.000, 0.000, 0.000)
In (0.250, 0.250, 0.250)
Hg (0.000, 0.000, 0.500)


## RbNbPd2Br (GGA-PBE)

Data for a relaxed RbNbPd2Br crystal.

Results
For the energy above the most stable polymorph in this dataset, the calculation gives 0.065 eV per atom. The value obtained for the uncorrected formation energy is -1.12 eV/f.u. For the final energy, the calculation gives -4.844 eV per atom. Its density is 5.90 g/cm³.

Cell: 8.924 3.475 9.258 Å, 90.00 112.48 90.00°
Space group Cm (No. 8)
Unique sites:
Rb (0.000, 0.000, 0.000)
Nb (0.448, 0.500, 0.525)
Pd (0.119, 0.500, 0.736)
Pd (0.281, 0.000, 0.617)
Br (0.394, 0.000, 0.278)


## Pu2PdAu (GGA-PBE)

Data for a relaxed Pu2PdAu crystal.

Results
As for the formation energy: -391 meV per atom. For the final energy, the calculation gives -9.674 eV per atom. Its density is 16.12 g/cm³.

Cell: 6.884 6.884 6.884 Å, 90.00 90.00 90.00°
Space group F-43m (No. 216)
Unique sites:
Pu (0.000, 0.000, 0.000)
Pu (0.250, 0.250, 0.250)
Pd (0.250, 0.250, 0.750)
Au (0.000, 0.000, 0.500)


## Na2PmUTe4 (GGA-PBE)

Data for a relaxed Na2PmUTe4 crystal.

Results
The value obtained for the uncorrected formation energy is -8.32 eV/f.u. For the final energy, the calculation gives -4.945 eV per atom. Its density is 5.92 g/cm³.

Cell: 7.757 4.480 8.020 Å, 90.00 108.86 90.00°
Space group P2/m (No. 10)
Unique sites:
Na (0.000, 0.000, 0.000)
Na (0.500, 0.500, 0.000)
Pm (0.000, 0.500, 0.500)
U (0.500, 0.000, 0.500)
Te (0.249, 0.000, 0.739)
Te (0.257, 0.500, 0.264)


## SmCuAgGe (GGA-PBE)

Data for a relaxed SmCuAgGe crystal.

Results
As for the formation energy: -268 meV per atom. For the final energy, the calculation gives -4.339 eV per atom. Its density is 8.43 g/cm³.

Cell: 6.774 6.774 6.774 Å, 90.00 90.00 90.00°
Space group F-43m (No. 216)
Unique sites:
Sm (0.000, 0.000, 0.000)
Cu (0.250, 0.250, 0.750)
Ag (0.000, 0.000, 0.500)
Ge (0.250, 0.250, 0.250)


## YSi2Ir (GGA-PBE)

Data for a relaxed YSi2Ir crystal.

Results
The value obtained for the uncorrected formation energy is -1.51 eV/f.u. For the final energy, the calculation gives -6.920 eV per atom. Its density is 8.27 g/cm³.

Cell: 4.097 4.097 4.035 Å, 90.00 90.00 90.00°
Space group P4/mmm (No. 123)
Unique sites:
Y (0.000, 0.000, 0.000)
Si (0.000, 0.500, 0.500)
Ir (0.500, 0.500, 0.000)


## Ti6CoRh3 (GGA-PBE)

Data for a relaxed Ti6CoRh3 crystal.

Results
As for the formation energy: -395 meV per atom. For the final energy, the calculation gives -8.048 eV per atom. Its density is 7.03 g/cm³.

Cell: 8.707 5.338 6.986 Å, 90.00 107.77 90.00°
Space group C2/m (No. 12)
Unique sites:
Ti (0.147, 0.249, 0.307)
Ti (0.149, 0.000, 0.917)
Co (0.000, 0.000, 0.500)
Rh (0.000, 0.500, 0.000)
Rh (0.112, 0.500, 0.679)


## FeCCl2 (GGA-PBE)

Data for a relaxed FeCCl2 crystal.

Results
For the energy above the most stable polymorph in this dataset, the calculation gives 0.271 eV per atom. The value obtained for the uncorrected formation energy is 6.15 eV/f.u. For the final energy, the calculation gives -3.809 eV per atom. Its density is 3.31 g/cm³.

Cell: 3.3122 3.3122 21.9750 Å, 90.00 90.00 120.00°
Space group R-3m (No. 166, hexagonal axes)
Unique sites:
Fe (0.0000, 0.0000, 0.0000)
C (0.0000, 0.0000, 0.5000)
Cl (0.0000, 0.0000, 0.0973)


## Sm2DyGe (GGA-PBE)

Data for a relaxed Sm2DyGe crystal.

Results
For the energy above the most stable polymorph in this dataset, the calculation gives 0.144 eV per atom. As for the formation energy: -190 meV per atom. For the final energy, the calculation gives -4.854 eV per atom. Its density is 7.24 g/cm³.

Cell: 3.7629 3.7629 30.0485 Å, 90.00 90.00 120.00°
Space group R-3m (No. 166, hexagonal axes)
Unique sites:
Sm (0.0000, 0.0000, 0.2332)
Dy (0.0000, 0.0000, 0.0000)
Ge (0.0000, 0.0000, 0.5000)


## AlCo2MoH (GGA-PBE)

Data for a relaxed AlCo2MoH crystal.

Results
For the final energy, the calculation gives -6.481 eV per atom. Its density is 7.53 g/cm³.

Cell: 3.718 3.718 3.855 Å, 90.00 90.00 90.00°
Space group P4/mmm (No. 123)
Unique sites:
Al (0.000, 0.000, 0.000)
Co (0.000, 0.500, 0.500)
Mo (0.500, 0.500, 0.000)
H (0.500, 0.500, 0.500)


## V4Ir4Rh5 (GGA-PBE)

Data for a relaxed V4Ir4Rh5 crystal.

Results
As for the formation energy: -375 meV per atom. For the final energy, the calculation gives -8.735 eV per atom. Its density is 13.54 g/cm³.

Cell: 9.732 9.732 3.851 Å, 90.00 90.00 90.00°
Space group I4/m (No. 87)
Unique sites:
V (0.139, 0.768, 0.000)
Ir (0.091, 0.379, 0.000)
Rh (0.000, 0.000, 0.000)
Rh (0.044, 0.191, 0.500)


## FeNiSe2N (GGA-PBE)

Data for a relaxed FeNiSe2N crystal.

Results
For the energy above the most stable polymorph in this dataset, the calculation gives 0.000 eV per atom. The value obtained for the uncorrected formation energy is 2.42 eV/f.u. For the final energy, the calculation gives -5.424 eV per atom. Its density is 6.17 g/cm³.

Cell: 4.809 4.809 3.335 Å, 90.00 90.00 90.00°
Space group P4/mmm (No. 123)
Unique sites:
Fe (0.000, 0.000, 0.000)
Ni (0.500, 0.500, 0.500)
Se (0.000, 0.500, 0.000)
N (0.000, 0.000, 0.500)


## BeIn2Os (GGA-PBE)

Data for a relaxed BeIn2Os crystal.

Results
As for the formation energy: 439 meV per atom. For the final energy, the calculation gives -4.669 eV per atom. Its density is 10.73 g/cm³.

Cell: 3.974 3.974 8.403 Å, 90.00 90.00 90.00°
Space group I-4m2 (No. 119)
Unique sites:
Be (0.000, 0.000, 0.000)
In (0.000, 0.000, 0.500)
In (0.000, 0.500, 0.750)
Os (0.000, 0.500, 0.250)


## LiLaMg (GGA-PBE)

Data for a relaxed LiLaMg crystal.

Results
For the energy above the most stable polymorph in this dataset, the calculation gives 0.066 eV per atom. As for the formation energy: 36 meV per atom. For the final energy, the calculation gives -2.776 eV per atom. Its density is 3.45 g/cm³.

Cell: 3.282 4.994 10.003 Å, 90.00 90.00 90.00°
Space group Imm2 (No. 44)
Unique sites:
Li (0.000, 0.000, 0.000)
La (0.000, 0.000, 0.324)
Mg (0.000, 0.000, 0.658)


## Hf2TiInTc (GGA-PBE)

Data for a relaxed Hf2TiInTc crystal.

Results
As for the formation energy: 1715 meV per atom. For the final energy, the calculation gives -6.466 eV per atom. Its density is 8.13 g/cm³.

Cell: 5.141 5.141 4.773 Å, 90.00 90.00 90.00°
Space group P4/mmm (No. 123)
Unique sites:
Hf (0.000, 0.500, 0.000)
Ti (0.000, 0.000, 0.500)
In (0.000, 0.000, 0.000)
Tc (0.500, 0.500, 0.500)


## Rb2GePbBr6 (GGA-PBE)

Data for a relaxed Rb2GePbBr6 crystal.

Results
For the energy above the most stable polymorph in this dataset, the calculation gives 0.024 eV per atom. The value obtained for the uncorrected formation energy is -11.40 eV/f.u. For the final energy, the calculation gives -3.170 eV per atom. Its density is 4.03 g/cm³.

Cell: 11.529 11.529 11.529 Å, 90.00 90.00 90.00°
Space group Fm-3m (No. 225)
Unique sites:
Rb (0.250, 0.250, 0.250)
Ge (0.000, 0.000, 0.000)
Pb (0.000, 0.000, 0.500)
Br (0.000, 0.000, 0.241)


## Li5PmHg6 (GGA-PBE)

Data for a relaxed Li5PmHg6 crystal.

Results
As for the formation energy: -373 meV per atom. For the final energy, the calculation gives -1.717 eV per atom. Its density is 9.28 g/cm³.

Cell: 4.881 6.990 7.644 Å, 90.00 108.36 90.00°
Space group P2/m (No. 10)
Unique sites:
Li (0.000, 0.000, 0.000)
Li (0.328, 0.500, 0.653)
Li (0.339, 0.000, 0.681)
Pm (0.000, 0.500, 0.000)
Hg (0.175, 0.230, 0.348)
Hg (0.500, 0.224, 0.000)


## CeSmP (GGA-PBE)

Data for a relaxed CeSmP crystal.

Results
As for the formation energy: -701 meV per atom. For the final energy, the calculation gives -6.055 eV per atom. Its density is 6.75 g/cm³.

Cell: 3.592 3.592 12.258 Å, 90.00 90.00 90.00°
Space group I4mm (No. 107)
Unique sites:
Ce (0.000, 0.000, 0.000)
Sm (0.000, 0.000, 0.256)
P (0.000, 0.000, 0.626)


## La3YCr (GGA-PBE)

Data for a relaxed La3YCr crystal.

Results
For the energy above the most stable polymorph in this dataset, the calculation gives 0.662 eV per atom. As for the formation energy: 1031 meV per atom. For the final energy, the calculation gives -5.143 eV per atom. Its density is 4.60 g/cm³.

Cell: 5.862 5.862 5.862 Å, 90.00 90.00 90.00°
Space group Pm-3m (No. 221)
Unique sites:
La (0.000, 0.000, 0.500)
Y (0.000, 0.000, 0.000)
Cr (0.500, 0.500, 0.500)


## RbRh (GGA-PBE)

Data for a relaxed RbRh crystal.

Results
As for the formation energy: 635 meV per atom. For the final energy, the calculation gives -3.525 eV per atom. Its density is 3.68 g/cm³.

Cell: 12.506 12.506 4.345 Å, 90.00 90.00 90.00°
Space group I4/mmm (No. 139)
Unique sites:
Rb (0.000, 0.255, 0.000)
Rh (0.222, 0.222, 0.500)


## Ba2ZrScS6 (GGA-PBE)

Data for a relaxed Ba2ZrScS6 crystal.

Results
The value obtained for the uncorrected formation energy is -17.41 eV/f.u. For the final energy, the calculation gives -6.090 eV per atom. Its density is 3.93 g/cm³.

Cell: 7.060 7.170 12.293 Å, 90.00 125.03 90.00°
Space group P2_1/c (No. 14)
Unique sites:
Ba (0.240, 0.041, 0.250)
Zr (0.500, 0.000, 0.000)
Sc (0.000, 0.000, 0.500)
S (0.189, 0.217, 0.973)
S (0.258, 0.717, 0.974)
S (0.300, 0.004, 0.750)


## Pr6InTe12 (GGA-PBE)

Data for a relaxed Pr6InTe12 crystal.

Results
The value obtained for the uncorrected formation energy is -20.96 eV/f.u. For the final energy, the calculation gives -4.741 eV per atom. Its density is 5.82 g/cm³.

Cell: 13.7359 13.7359 13.0556 Å, 90.00 90.00 120.00°
Space group R-3 (No. 148, hexagonal axes)
Unique sites:
Pr (0.0433, 0.2747, 0.1306)
In (0.0000, 0.0000, 0.5000)
Te (0.0317, 0.2108, 0.8924)
Te (0.0822, 0.2199, 0.3799)


## LuTaCoOs (GGA-PBE)

Data for a relaxed LuTaCoOs crystal.

Results
As for the formation energy: -257 meV per atom. For the final energy, the calculation gives -8.934 eV per atom. Its density is 15.14 g/cm³.

Cell: 6.427 6.427 6.427 Å, 90.00 90.00 90.00°
Space group F-43m (No. 216)
Unique sites:
Lu (0.000, 0.000, 0.000)
Ta (0.000, 0.000, 0.500)
Co (0.250, 0.250, 0.750)
Os (0.250, 0.250, 0.250)